No. 1
CaCd2Pb2: optimized geometry, PBE.

Computed properties:
ΔE_f ... -22.5 kJ per mole of atoms
Raw total energy ... -0.091 Ha/atom

```
data_CaCd2Pb2
_chemical_formula_sum 'Ca4 Cd8 Pb8'
_space_group_name_H-M_alt 'C m c m'
_space_group_IT_number 63
_space_group_name_Hall '-C 2c 2'
_cell_length_a 4.720
_cell_length_b 24.004
_cell_length_c 4.785
_cell_angle_alpha 90.00
_cell_angle_beta 90.00
_cell_angle_gamma 90.00
loop_
_atom_site_label
_atom_site_type_symbol
_atom_site_fract_x
_atom_site_fract_y
_atom_site_fract_z
Ca1 Ca 0.000 0.141 0.250
Cd1 Cd 0.000 0.039 0.750
Cd2 Cd 0.000 0.457 0.750
Pb1 Pb 0.000 0.248 0.750
Pb2 Pb 0.000 0.365 0.250
```

No. 2
Ac2Al5Ag4: optimized geometry, PBE.

Computed properties:
ΔE_f ... -26.5 kJ per mole of atoms
E above lowest polymorph ... 0.000 eV/f.u.
Raw total energy ... -0.138 Ha/atom

```
data_Ac2Al5Ag4
_chemical_formula_sum 'Ac4 Al10 Ag8'
_space_group_name_H-M_alt 'I m m m'
_space_group_IT_number 71
_space_group_name_Hall '-I 2 2'
_cell_length_a 5.621
_cell_length_b 8.924
_cell_length_c 9.932
_cell_angle_alpha 90.00
_cell_angle_beta 90.00
_cell_angle_gamma 90.00
loop_
_atom_site_label
_atom_site_type_symbol
_atom_site_fract_x
_atom_site_fract_y
_atom_site_fract_z
Ac1 Ac 0.000 0.243 0.000
Al1 Al 0.000 0.500 0.500
Al2 Al 0.250 0.000 0.249
Ag1 Ag 0.000 0.244 0.332
```